# 1
Ac4IrPd2Se (PBE-GGA, relaxed); formation energy (no corrections) = -22.87 kcal/mol of atoms; symmetry = P2/m; crystal system = monoclinic
1.0
7.657 0.000 0.000
0.000 4.383 0.000
-2.504 0.000 7.399
Ac Ir Pd Se
4 1 2 1
Cartesian
1.265 0.000 1.729
0.004 2.192 5.680
5.149 2.192 1.719
3.888 0.000 5.670
0.000 2.192 0.000
3.828 0.000 0.000
2.577 2.192 3.700
-1.252 0.000 3.700

=====

# 2
RbLi2GaAg (PBE-GGA, relaxed); symmetry = P4/mmm; DFT total energy = -10.525 eV/cell; crystal system = tetragonal
1.0
5.343 0.000 0.000
0.000 5.343 0.000
0.000 0.000 4.962
Rb Li Ga Ag
1 2 1 1
Cartesian
0.000 0.000 0.000
0.000 2.671 2.481
2.671 0.000 2.481
2.671 2.671 0.000
2.671 2.671 2.481

=====

# 3
PrNd2AgHg4 (PBE-GGA, relaxed); symmetry = R-3m; DFT total energy = -21.472 eV/cell; crystal system = trigonal
1.0
2.596 1.499 9.151
-2.596 1.499 9.151
0.000 -2.997 9.151
Pr Nd Ag Hg
1 2 1 4
Cartesian
0.000 0.000 0.000
0.000 0.000 6.579
0.000 0.000 20.872
0.000 0.000 13.726
0.000 0.000 3.446
0.000 0.000 10.330
0.000 0.000 17.122
0.000 0.000 24.006

=====

# 4
Mg2TlCd (PBE-GGA, relaxed); symmetry = Cm; DFT total energy = -6.638 eV/cell; crystal system = monoclinic
1.0
5.410 -1.790 0.000
5.410 1.790 0.000
-1.254 0.000 4.904
Mg Tl Cd
2 1 1
Cartesian
0.000 0.000 0.000
1.758 0.000 3.347
4.718 0.000 2.434
7.821 0.000 0.836

=====

# 5
Fe2CoWN (PBE-GGA, relaxed); formation energy (no corrections) = 0.97 kcal/mol of atoms; symmetry = P4/mmm; crystal system = tetragonal
1.0
3.732 0.000 0.000
0.000 3.732 0.000
0.000 0.000 4.037
Fe Co W N
2 1 1 1
Cartesian
0.000 1.866 0.000
1.866 0.000 0.000
0.000 0.000 2.019
1.866 1.866 2.019
1.866 1.866 0.000

=====

# 6
Tl3H (PBE-GGA, relaxed); symmetry = I4/mmm; DFT total energy = -8.691 eV/cell; crystal system = tetragonal
1.0
-2.351 2.351 4.699
2.351 -2.351 4.699
2.351 2.351 -4.699
Tl H
3 1
Cartesian
0.000 0.000 0.000
2.351 0.000 2.349
0.000 2.351 2.349
0.000 0.000 4.699